1.
DFT (PBE) results for a relaxed structure of Os2PdRu.

abc: 6.6115 6.6115 6.6115
angles: 128.74 128.74 75.42
With the nearest neighbours (Å) after each atom.
Atoms (fractional coordinates):
Os 0.1113 0.6250 0.9863  2 Ru 2.36, 2 Pd 2.46
Os 0.3750 0.3613 0.4863  2 Ru 2.36, 2 Pd 2.46
Os 0.6387 0.1250 0.0137  2 Ru 2.36, 2 Pd 2.46
Os 0.8750 0.8887 0.5137  2 Ru 2.36, 2 Pd 2.46
Pd 0.2500 0.7500 0.5000  4 Os 2.46
Pd 0.5000 0.5000 0.0000  4 Os 2.46
Ru 0.0000 0.0000 0.0000  4 Os 2.36
Ru 0.7500 0.2500 0.5000  4 Os 2.36

Computed properties:
symmetry: No. 122
ΔE_f: 1.477 eV/atom

---

2.
DFT (PBE) results for a relaxed structure of OsPdRu2.

abc: 9.0936 9.0936 9.0936
angles: 17.23 17.23 17.23
With the nearest neighbours (Å) after each atom.
Atoms (fractional coordinates):
Os 0.0000 0.0000 0.0000  6 Ru 2.67, 6 Os 2.72
Pd 0.5000 0.5000 0.5000  6 Pd 2.72, 6 Ru 2.80
Ru 0.2530 0.2530 0.2530  3 Os 2.67, 6 Ru 2.72, 3 Pd 2.80
Ru 0.7470 0.7470 0.7470  3 Os 2.67, 6 Ru 2.72, 3 Pd 2.80

Computed properties:
symmetry: No. 166
ΔE_f: 0.123 eV/atom

---

3.
DFT (PBE) results for a relaxed structure of OsPdRu3.

abc: 4.6539 4.6539 4.6539
angles: 90.00 90.00 90.00
With the nearest neighbours (Å) after each atom.
Atoms (fractional coordinates):
Os 0.0000 0.0000 0.0000  6 Ru 2.33
Pd 0.5000 0.5000 0.5000  12 Ru 3.29
Ru 0.0000 0.0000 0.5000  2 Os 2.33
Ru 0.0000 0.5000 0.0000  2 Os 2.33
Ru 0.5000 0.0000 0.0000  2 Os 2.33

Computed properties:
symmetry: No. 221
ΔE_f: 1.738 eV/atom

---

4.
DFT (PBE) results for a relaxed structure of OsPdRu2.

abc: 6.5075 6.5075 6.5075
angles: 127.12 127.12 78.05
With the nearest neighbours (Å) after each atom.
Atoms (fractional coordinates):
Os 0.0000 0.0000 0.0000  4 Ru 2.35
Os 0.7500 0.2500 0.5000  4 Ru 2.35
Pd 0.2500 0.7500 0.5000  4 Ru 2.46
Pd 0.5000 0.5000 0.0000  4 Ru 2.46
Ru 0.1091 0.6250 0.9841  2 Os 2.35, 2 Pd 2.46
Ru 0.3750 0.3591 0.4841  2 Os 2.35, 2 Pd 2.46
Ru 0.6409 0.1250 0.0159  2 Os 2.35, 2 Pd 2.46
Ru 0.8750 0.8909 0.5159  2 Os 2.35, 2 Pd 2.46

Computed properties:
symmetry: No. 122
ΔE_f: 1.255 eV/atom

---

5.
DFT (PBE) results for a relaxed structure of Os3PdRu.

abc: 4.6286 4.6286 4.6286
angles: 90.00 90.00 90.00
With the nearest neighbours (Å) after each atom.
Atoms (fractional coordinates):
Os 0.0000 0.0000 0.5000  2 Ru 2.31
Os 0.0000 0.5000 0.0000  2 Ru 2.31
Os 0.5000 0.0000 0.0000  2 Ru 2.31
Pd 0.5000 0.5000 0.5000  12 Os 3.27
Ru 0.0000 0.0000 0.0000  6 Os 2.31

Computed properties:
symmetry: No. 221
ΔE_f: 2.342 eV/atom

---

6.
DFT (PBE) results for a relaxed structure of Os2PdRu2.

abc: 7.4782 7.4782 2.7193
angles: 90.00 90.00 90.00
With the nearest neighbours (Å) after each atom.
Atoms (fractional coordinates):
Os 0.1682 0.3318 0.0000  6 Ru 2.58-2.60, 2 Os 2.72
Os 0.3318 0.8318 0.0000  6 Ru 2.58-2.60, 2 Os 2.72
Os 0.6682 0.1682 0.0000  6 Ru 2.58-2.60, 2 Os 2.72
Os 0.8318 0.6682 0.0000  6 Ru 2.58-2.60, 2 Os 2.72
Pd 0.0000 0.0000 0.5000  2 Pd 2.72, 4 Ru 2.96
Pd 0.5000 0.5000 0.5000  2 Pd 2.72, 4 Ru 2.96
Ru 0.1242 0.6242 0.5000  6 Os 2.58-2.60, 3 Ru 2.63-2.72
Ru 0.3758 0.1242 0.5000  6 Os 2.58-2.60, 3 Ru 2.63-2.72
Ru 0.6242 0.8758 0.5000  6 Os 2.58-2.60, 3 Ru 2.63-2.72
Ru 0.8758 0.3758 0.5000  6 Os 2.58-2.60, 3 Ru 2.63-2.72

Computed properties:
symmetry: No. 127
ΔE_f: 0.324 eV/atom

---

7.
DFT (PBE) results for a relaxed structure of OsPd2Ru.

abc: 4.3805 4.3805 4.3805
angles: 60.00 60.00 60.00
With the nearest neighbours (Å) after each atom.
Atoms (fractional coordinates):
Os 0.0000 0.0000 0.0000  8 Pd 2.68
Pd 0.2500 0.2500 0.2500  4 Ru 2.68, 4 Os 2.68
Pd 0.7500 0.7500 0.7500  4 Ru 2.68, 4 Os 2.68
Ru 0.5000 0.5000 0.5000  8 Pd 2.68

Computed properties:
symmetry: No. 225
ΔE_f: 0.612 eV/atom

---

8.
DFT (PBE) results for a relaxed structure of SbOsPdRu2.

abc: 4.6510 4.6510 4.9263
angles: 90.00 90.00 90.00
With the nearest neighbours (Å) after each atom.
Atoms (fractional coordinates):
Sb 0.0000 0.0000 0.0000  4 Pd 3.29, 8 Ru 3.39
Os 0.5000 0.5000 0.5000  4 Ru 2.33, 2 Pd 2.46
Pd 0.5000 0.5000 0.0000  2 Os 2.46
Ru 0.0000 0.5000 0.5000  2 Os 2.33
Ru 0.5000 0.0000 0.5000  2 Os 2.33

Computed properties:
symmetry: No. 123
DFT total energy: -0.23880 hartree per atom

---

9.
DFT (PBE) results for a relaxed structure of Tl2OsPdRu.

abc: 5.1683 5.1683 4.6719
angles: 90.00 90.00 90.00
With the nearest neighbours (Å) after each atom.
Atoms (fractional coordinates):
Tl 0.0000 0.5000 0.0000  2 Ru 2.58
Tl 0.5000 0.0000 0.0000  2 Ru 2.58
Os 0.0000 0.0000 0.5000  2 Ru 2.34
Pd 0.5000 0.5000 0.5000  8 Tl 3.48, 4 Os 3.65
Ru 0.0000 0.0000 0.0000  2 Os 2.34, 4 Tl 2.58

Computed properties:
symmetry: No. 123
ΔE_f: 1.252 eV/atom

---

10.
DFT (PBE) results for a relaxed structure of OsPdS.

abc: 3.7623 3.7623 7.4402
angles: 107.63 107.63 74.02
With the nearest neighbours (Å) after each atom.
Atoms (fractional coordinates):
Os 0.1916 0.1916 0.1844  4 S 2.26-2.42
Os 0.8084 0.8084 0.8156  4 S 2.26-2.42
Pd 0.3341 0.3341 0.5948  1 S 2.41, 2 Pd 2.66, 1 Os 2.70
Pd 0.6659 0.6659 0.4052  1 S 2.41, 2 Pd 2.66, 1 Os 2.70
S 0.2023 0.2023 0.8628  4 Os 2.26-2.42, 1 Pd 2.41
S 0.7977 0.7977 0.1372  4 Os 2.26-2.42, 1 Pd 2.41

Computed properties:
symmetry: No. 12
DFT total energy: -0.24243 hartree per atom

---

11.
DFT (PBE) results for a relaxed structure of Os2PdS.

abc: 6.6632 6.6632 6.6632
angles: 132.92 132.92 68.78
With the nearest neighbours (Å) after each atom.
Atoms (fractional coordinates):
Os 0.0768 0.6250 0.9518  2 S 2.19
Os 0.3750 0.3268 0.4518  2 S 2.19
Os 0.6732 0.1250 0.0482  2 S 2.19
Os 0.8750 0.9232 0.5482  2 S 2.19
Pd 0.2500 0.7500 0.5000  4 Os 2.49
Pd 0.5000 0.5000 0.0000  4 Os 2.49
S 0.0000 0.0000 0.0000  4 Os 2.19
S 0.7500 0.2500 0.5000  4 Os 2.19

Computed properties:
symmetry: No. 122
DFT total energy: -0.25509 hartree per atom

---

12.
DFT (PBE) results for a relaxed structure of Sn2OsPdS.

abc: 5.3064 5.3064 4.3011
angles: 90.00 90.00 90.00
With the nearest neighbours (Å) after each atom.
Atoms (fractional coordinates):
Sn 0.0000 0.5000 0.0000  2 Os 2.65
Sn 0.5000 0.0000 0.0000  2 Os 2.65
Os 0.0000 0.0000 0.0000  2 S 2.15
Pd 0.5000 0.5000 0.5000  8 Sn 3.42, 4 S 3.75
S 0.0000 0.0000 0.5000  2 Os 2.15

Computed properties:
symmetry: No. 123
DFT total energy: -0.19333 hartree per atom